Below is an optimized crystal structure of Cs3HoNb2O8, with properties calculated at the GGA-PBE level.

```
Cs3HoNb2O8
1.0
-5.310 3.488 0.362
1.094 -3.607 -5.127
-4.016 -6.499 3.716
Cs Ho Nb O
3 1 2 8
Direct
0.333 0.667 0.722
0.667 0.333 0.278
0.000 0.000 0.000
0.000 0.000 0.500
0.333 0.667 0.275
0.667 0.333 0.725
0.333 0.667 0.060
0.667 0.333 0.940
0.170 0.830 0.346
0.830 0.170 0.654
0.170 0.339 0.346
0.830 0.661 0.654
0.661 0.830 0.346
0.339 0.170 0.654
```

Properties
The uncorrected formation energy is -2575 meV per atom. The calculation puts the electronic total energy at -7.36 eV per atom. The value obtained for the total magnetic moment is 0.0 μB per cell. The space group is P-3m1 (164).